# 1
The following is a DFT calculation (PBE-GGA) of a relaxed TbUSbN2 crystal.

Structure (CIF):
```
data_TbUSbN2
_cell_length_a 3.908
_cell_length_b 3.908
_cell_length_c 12.355
_cell_angle_alpha 90.00
_cell_angle_beta 90.00
_cell_angle_gamma 90.00
_symmetry_space_group_name_H-M 'I 4 m m'
_symmetry_Int_Tables_number 107
_symmetry_space_group_name_Hall 'I 4 -2'
loop_
_atom_site_label
_atom_site_fract_x
_atom_site_fract_y
_atom_site_fract_z
Tb1 0.000 0.000 0.000
U1 0.000 0.000 0.324
Sb1 0.000 0.000 0.666
N1 0.000 0.500 0.398
```

spin magnetization = 0.00 μB/cell
total energy = -86.67 eV per cell
raw formation energy = -1328 meV/atom



# 2
The following is a DFT calculation (PBE-GGA) of a relaxed TaCu3S4 crystal.

Structure (CIF):
```
data_TaCu3S4
_cell_length_a 7.504
_cell_length_b 6.500
_cell_length_c 6.284
_cell_angle_alpha 90.00
_cell_angle_beta 90.00
_cell_angle_gamma 90.00
_symmetry_space_group_name_H-M 'P m n 21'
_symmetry_Int_Tables_number 31
loop_
_symmetry_equiv_pos_as_xyz
'x,y,z'
'-x+1/2,-y,z+1/2'
'-x,y,z'
'x+1/2,-y,z+1/2'
loop_
_atom_site_label
_atom_site_fract_x
_atom_site_fract_y
_atom_site_fract_z
Ta1 0.000 0.171 0.000
Cu1 0.000 0.838 0.491
Cu2 0.249 0.672 0.988
S1 0.000 0.170 0.632
S2 0.000 0.836 0.125
S3 0.246 0.662 0.622
```

spin magnetization = 0.00 μB/cell
total energy = -89.75 eV per cell
raw formation energy = -528 meV/atom



# 3
The following is a DFT calculation (PBE-GGA) of a relaxed In3SiPt crystal.

Structure (CIF):
```
data_In3SiPt
_cell_length_a 5.082
_cell_length_b 5.082
_cell_length_c 5.082
_cell_angle_alpha 90.00
_cell_angle_beta 90.00
_cell_angle_gamma 90.00
_symmetry_space_group_name_H-M 'P m -3 m'
_symmetry_Int_Tables_number 221
_symmetry_space_group_name_Hall '-P 4 2 3'
loop_
_atom_site_label
_atom_site_fract_x
_atom_site_fract_y
_atom_site_fract_z
In1 0.000 0.000 0.500
Si1 0.000 0.000 0.000
Pt1 0.500 0.500 0.500
```

spin magnetization = 0.00 μB/cell
total energy = -16.58 eV per cell
raw formation energy = 619 meV/atom



# 4
The following is a DFT calculation (PBE-GGA) of a relaxed CdTc2Hg crystal.

Structure (CIF):
```
data_CdTc2Hg
_cell_length_a 2.8886
_cell_length_b 2.8886
_cell_length_c 28.7491
_cell_angle_alpha 90.00
_cell_angle_beta 90.00
_cell_angle_gamma 120.00
_symmetry_space_group_name_H-M 'R -3 m'
_symmetry_Int_Tables_number 166
_symmetry_space_group_name_Hall '-R 3 2"'
loop_
_atom_site_label
_atom_site_fract_x
_atom_site_fract_y
_atom_site_fract_z
Cd1 0.0000 0.0000 0.0000
Tc1 0.0000 0.0000 0.2500
Hg1 0.0000 0.0000 0.5000
```

spin magnetization = 0.00 μB/cell
total energy = -58.23 eV per cell
calculated formation energy = 634 meV/atom